*w*
DFT (GGA-PBE) results for a relaxed structure of ZrGaSb.

Unit cell a=5.3607 b=5.3607 c=5.3607 alpha=139.81 beta=139.81 gamma=58.14
Closest atoms and distances in Å follow each position.
Positions (direct):
1 Zr 0.0000 0.0000 0.0000  5 Ga 3.00-3.19, 5 Sb 3.03-3.13
2 Ga 0.3403 0.3403 0.0000  5 Zr 3.00-3.19, 5 Sb 3.05-3.07
3 Sb 0.6659 0.6659 0.0000  5 Zr 3.03-3.13, 5 Ga 3.05-3.07

space-group type = I4mm, No. 107
spin magnetization = 0.00 μB/atom
N(E_F) = 4.43 states/eV per cell

=====

*x*
DFT (GGA-PBE) results for a relaxed structure of ZrGaSb.

Unit cell a=6.7163 b=6.7163 c=6.7163 alpha=90.00 beta=90.00 gamma=90.00
Closest atoms and distances in Å follow each position.
Positions (direct):
1 Zr 0.0358 0.0358 0.0358  3 Ga 2.91, 4 Sb 2.96-3.14
2 Zr 0.4642 0.9642 0.5358  3 Ga 2.91, 4 Sb 2.96-3.14
3 Zr 0.5358 0.4642 0.9642  3 Ga 2.91, 4 Sb 2.96-3.14
4 Zr 0.9642 0.5358 0.4642  3 Ga 2.91, 4 Sb 2.96-3.14
5 Ga 0.0379 0.9621 0.4621  1 Sb 2.71, 3 Zr 2.91
6 Ga 0.4621 0.0379 0.9621  1 Sb 2.71, 3 Zr 2.91
7 Ga 0.5379 0.5379 0.5379  1 Sb 2.71, 3 Zr 2.91
8 Ga 0.9621 0.4621 0.0379  1 Sb 2.71, 3 Zr 2.91
9 Sb 0.1947 0.6947 0.8053  1 Ga 2.71, 3 Zr 2.96
10 Sb 0.3053 0.3053 0.3053  1 Ga 2.71, 3 Zr 2.96
11 Sb 0.6947 0.8053 0.1947  1 Ga 2.71, 3 Zr 2.96
12 Sb 0.8053 0.1947 0.6947  1 Ga 2.71, 3 Zr 2.96

space-group type = P2_13, No. 198
spin magnetization = 0.00 μB/atom
N(E_F) = 8.70 states/eV per cell

=====

*y*
DFT (GGA-PBE) results for a relaxed structure of ZrGaSb.

Unit cell a=6.7375 b=5.4288 c=5.5772 alpha=75.48 beta=51.26 gamma=53.26
Closest atoms and distances in Å follow each position.
Positions (direct):
1 Zr 0.0000 0.0000 0.0000  5 Ga 2.88-3.20, 5 Sb 2.91-3.16
2 Zr 0.2500 0.2500 0.2500  5 Ga 2.88-3.20, 5 Sb 2.91-3.16
3 Ga 0.6733 0.6733 0.3267  5 Zr 2.88-3.20, 5 Sb 2.90-3.16
4 Ga 0.9233 0.9233 0.5767  5 Zr 2.88-3.20, 5 Sb 2.90-3.16
5 Sb 0.3382 0.3382 0.6618  5 Ga 2.90-3.16, 5 Zr 2.91-3.16
6 Sb 0.5882 0.5882 0.9118  5 Ga 2.90-3.16, 5 Zr 2.91-3.16

space-group type = Fdd2, No. 43
spin magnetization = 0.00 μB/atom
N(E_F) = 1.96 states/eV per cell

=====

Quick one: least stable of them? *x*

=====

*w*
DFT (GGA-PBE) results for a relaxed structure of ZrGaSb.

Unit cell a=3.9337 b=3.9337 c=8.5289 alpha=90.00 beta=90.00 gamma=90.00
Closest atoms and distances in Å follow each position.
Positions (direct):
1 Zr 0.2500 0.2500 0.2346  5 Sb 2.92-3.13, 4 Ga 3.00
2 Zr 0.7500 0.7500 0.7654  5 Sb 2.92-3.13, 4 Ga 3.00
3 Ga 0.2500 0.7500 0.5000  4 Ga 2.78, 4 Zr 3.00
4 Ga 0.7500 0.2500 0.5000  4 Ga 2.78, 4 Zr 3.00
5 Sb 0.2500 0.2500 0.8680  5 Zr 2.92-3.13
6 Sb 0.7500 0.7500 0.1320  5 Zr 2.92-3.13

space-group type = P4/nmm, No. 129
spin magnetization = 0.00 μB/atom
N(E_F) = 4.73 states/eV per cell

=====

*x*
DFT (GGA-PBE) results for a relaxed structure of ZrGaSb.

Unit cell a=4.9941 b=4.9941 c=2.9755 alpha=90.00 beta=90.00 gamma=120.00
Closest atoms and distances in Å follow each position.
Positions (direct):
1 Zr 0.0000 0.0000 0.0000  2 Zr 2.98, 6 Sb 3.24, 6 Ga 3.24
2 Ga 0.3333 0.6667 0.5000  3 Sb 2.88, 2 Ga 2.98
3 Sb 0.6667 0.3333 0.5000  3 Ga 2.88, 2 Sb 2.98

space-group type = P-6m2, No. 187
spin magnetization = 0.00 μB/atom
N(E_F) = 1.31 states/eV per cell

=====

Quick one: least stable of them? *x*

=====

*w*
DFT (GGA-PBE) results for a relaxed structure of ZrGa3Sb.

Unit cell a=5.1531 b=5.1531 c=5.1531 alpha=90.00 beta=90.00 gamma=90.00
Closest atoms and distances in Å follow each position.
Positions (direct):
1 Zr 0.0000 0.0000 0.0000  12 Ga 3.64
2 Ga 0.0000 0.5000 0.5000  2 Sb 2.58
3 Ga 0.5000 0.0000 0.5000  2 Sb 2.58
4 Ga 0.5000 0.5000 0.0000  2 Sb 2.58
5 Sb 0.5000 0.5000 0.5000  6 Ga 2.58

space-group type = Pm-3m, No. 221
spin magnetization = 0.09 μB/atom
N(E_F) = 4.42 states/eV per cell

=====

*x*
DFT (GGA-PBE) results for a relaxed structure of ZrGa3Sb.

Unit cell a=5.2464 b=5.2464 c=5.2464 alpha=90.00 beta=90.00 gamma=90.00
Closest atoms and distances in Å follow each position.
Positions (direct):
1 Zr 0.0000 0.0000 0.0000  6 Ga 2.62
2 Ga 0.0000 0.0000 0.5000  2 Zr 2.62
3 Ga 0.0000 0.5000 0.0000  2 Zr 2.62
4 Ga 0.5000 0.0000 0.0000  2 Zr 2.62
5 Sb 0.5000 0.5000 0.5000  12 Ga 3.71

space-group type = Pm-3m, No. 221
spin magnetization = 0.00 μB/atom
N(E_F) = 4.77 states/eV per cell

=====

Quick one: least stable of them? *w*

=====

*w*
DFT (GGA-PBE) results for a relaxed structure of Zr2GaSb2.

Unit cell a=7.6480 b=7.6480 c=3.9500 alpha=90.00 beta=90.00 gamma=90.00
Closest atoms and distances in Å follow each position.
Positions (direct):
1 Zr 0.1535 0.3465 0.0000  2 Ga 2.90, 6 Sb 2.91-3.04
2 Zr 0.3465 0.8465 0.0000  2 Ga 2.90, 6 Sb 2.91-3.04
3 Zr 0.6535 0.1535 0.0000  2 Ga 2.90, 6 Sb 2.91-3.04
4 Zr 0.8465 0.6535 0.0000  2 Ga 2.90, 6 Sb 2.91-3.04
5 Ga 0.0000 0.0000 0.0000  4 Zr 2.90
6 Ga 0.5000 0.5000 0.0000  4 Zr 2.90
7 Sb 0.1486 0.6486 0.5000  6 Zr 2.91-3.04, 1 Sb 3.22
8 Sb 0.3514 0.1486 0.5000  6 Zr 2.91-3.04, 1 Sb 3.22
9 Sb 0.6486 0.8514 0.5000  6 Zr 2.91-3.04, 1 Sb 3.22
10 Sb 0.8514 0.3514 0.5000  6 Zr 2.91-3.04, 1 Sb 3.22

space-group type = P4/mbm, No. 127
spin magnetization = 0.00 μB/atom
N(E_F) = 3.78 states/eV per cell

=====

*x*
DFT (GGA-PBE) results for a relaxed structure of Zr2GaSb2.

Unit cell a=8.2284 b=5.5757 c=10.8630 alpha=90.00 beta=90.00 gamma=90.00
Closest atoms and distances in Å follow each position.
Positions (direct):
1 Zr 0.1058 0.2500 0.2269  2 Ga 2.77-2.88, 4 Sb 2.92-3.04
2 Zr 0.1089 0.2500 0.9121  5 Sb 2.87-2.94, 1 Ga 2.93
3 Zr 0.3911 0.7500 0.4121  5 Sb 2.87-2.94, 1 Ga 2.93
4 Zr 0.3942 0.7500 0.7269  2 Ga 2.77-2.88, 4 Sb 2.92-3.04
5 Zr 0.6058 0.2500 0.2731  2 Ga 2.77-2.88, 4 Sb 2.92-3.04
6 Zr 0.6089 0.2500 0.5879  5 Sb 2.87-2.94, 1 Ga 2.93
7 Zr 0.8911 0.7500 0.0879  5 Sb 2.87-2.94, 1 Ga 2.93
8 Zr 0.8942 0.7500 0.7731  2 Ga 2.77-2.88, 4 Sb 2.92-3.04
9 Ga 0.1072 0.7500 0.5752  3 Zr 2.77-2.93, 1 Sb 2.80
10 Ga 0.3928 0.2500 0.0752  3 Zr 2.77-2.93, 1 Sb 2.80
11 Ga 0.6072 0.7500 0.9248  3 Zr 2.77-2.93, 1 Sb 2.80
12 Ga 0.8928 0.2500 0.4248  3 Zr 2.77-2.93, 1 Sb 2.80
13 Sb 0.0549 0.7500 0.3207  1 Ga 2.80, 4 Zr 2.87-3.00
14 Sb 0.1854 0.7500 0.9447  5 Zr 2.88-3.04
15 Sb 0.3146 0.2500 0.4447  5 Zr 2.88-3.04
16 Sb 0.4451 0.2500 0.8207  1 Ga 2.80, 4 Zr 2.87-3.00
17 Sb 0.5549 0.7500 0.1793  1 Ga 2.80, 4 Zr 2.87-3.00
18 Sb 0.6854 0.7500 0.5553  5 Zr 2.88-3.04
19 Sb 0.8146 0.2500 0.0553  5 Zr 2.88-3.04
20 Sb 0.9451 0.2500 0.6793  1 Ga 2.80, 4 Zr 2.87-3.00

space-group type = Pnma, No. 62
spin magnetization = 0.00 μB/atom
N(E_F) = 14.08 states/eV per cell

=====

Quick one: least stable of them? *x*

=====

*w*
DFT (GGA-PBE) results for a relaxed structure of Zr4GaSb.

Unit cell a=6.7783 b=6.7783 c=5.6800 alpha=90.00 beta=90.00 gamma=90.00
Closest atoms and distances in Å follow each position.
Positions (direct):
1 Zr 0.1448 0.3386 0.0000  2 Ga 2.87, 1 Zr 2.94, 2 Sb 3.00
2 Zr 0.1448 0.6614 0.5000  2 Ga 2.87, 1 Zr 2.94, 2 Sb 3.00
3 Zr 0.3386 0.1448 0.5000  2 Ga 2.87, 1 Zr 2.94, 2 Sb 3.00
4 Zr 0.3386 0.8552 0.0000  2 Ga 2.87, 1 Zr 2.94, 2 Sb 3.00
5 Zr 0.6614 0.1448 0.0000  2 Ga 2.87, 1 Zr 2.94, 2 Sb 3.00
6 Zr 0.6614 0.8552 0.5000  2 Ga 2.87, 1 Zr 2.94, 2 Sb 3.00
7 Zr 0.8552 0.3386 0.5000  2 Ga 2.87, 1 Zr 2.94, 2 Sb 3.00
8 Zr 0.8552 0.6614 0.0000  2 Ga 2.87, 1 Zr 2.94, 2 Sb 3.00
9 Ga 0.0000 0.0000 0.2500  2 Ga 2.84, 8 Zr 2.87
10 Ga 0.0000 0.0000 0.7500  2 Ga 2.84, 8 Zr 2.87
11 Sb 0.5000 0.5000 0.2500  2 Sb 2.84, 8 Zr 3.00
12 Sb 0.5000 0.5000 0.7500  2 Sb 2.84, 8 Zr 3.00

space-group type = P4/mcc, No. 124
spin magnetization = 0.00 μB/atom
N(E_F) = 8.87 states/eV per cell

=====

*x*
DFT (GGA-PBE) results for a relaxed structure of Zr4GaSb.

Unit cell a=7.9845 b=7.9845 c=6.8875 alpha=102.51 beta=102.51 gamma=40.80
Closest atoms and distances in Å follow each position.
Positions (direct):
1 Zr 0.0406 0.8070 0.5583  1 Ga 2.64, 1 Zr 2.90
2 Zr 0.1930 0.9594 0.9417  1 Ga 2.64, 1 Zr 2.90
3 Zr 0.1964 0.4679 0.8806  2 Ga 2.70
4 Zr 0.4679 0.1964 0.3806  2 Ga 2.70
5 Zr 0.5321 0.8036 0.6194  2 Ga 2.70
6 Zr 0.8036 0.5321 0.1194  2 Ga 2.70
7 Zr 0.8070 0.0406 0.0583  1 Ga 2.64, 1 Zr 2.90
8 Zr 0.9594 0.1930 0.4417  1 Ga 2.64, 1 Zr 2.90
9 Ga 0.0000 0.5000 0.5000  6 Zr 2.64-2.70
10 Ga 0.5000 0.0000 0.0000  6 Zr 2.64-2.70
11 Sb 0.3855 0.6145 0.2500  10 Zr 3.03-3.19
12 Sb 0.6145 0.3855 0.7500  10 Zr 3.03-3.19

space-group type = C2/c, No. 15
spin magnetization = 0.00 μB/atom
N(E_F) = 12.21 states/eV per cell

=====

Quick one: least stable of them? *x*

=====

*w*
DFT (GGA-PBE) results for a relaxed structure of ScGa4.

Unit cell a=7.9058 b=7.9058 c=7.9058 alpha=148.87 beta=135.51 gamma=55.29
Closest atoms and distances in Å follow each position.
Positions (direct):
1 Sc 0.3505 0.1005 0.2500  13 Ga 2.92-3.24
2 Sc 0.6495 0.8995 0.7500  13 Ga 2.92-3.24
3 Ga 0.0000 0.5000 0.5000  8 Ga 2.76-3.00, 4 Sc 2.95
4 Ga 0.1423 0.8923 0.2500  10 Ga 2.85-3.09, 3 Sc 2.92-2.99
5 Ga 0.1866 0.6968 0.4897  6 Ga 2.59-2.87
6 Ga 0.2929 0.3032 0.9897  6 Ga 2.59-2.87
7 Ga 0.5000 0.5000 0.0000  8 Ga 2.76-3.00, 4 Sc 2.95
8 Ga 0.7071 0.6968 0.0103  6 Ga 2.59-2.87
9 Ga 0.8134 0.3032 0.5103  6 Ga 2.59-2.87
10 Ga 0.8577 0.1077 0.7500  10 Ga 2.85-3.09, 3 Sc 2.92-2.99

space-group type = Imma, No. 74
spin magnetization = 0.00 μB/atom
N(E_F) = 3.57 states/eV per cell

=====

*x*
DFT (GGA-PBE) results for a relaxed structure of ScGa4.

Unit cell a=5.2572 b=5.2572 c=5.2572 alpha=90.00 beta=90.00 gamma=90.00
Closest atoms and distances in Å follow each position.
Positions (direct):
1 Sc 0.0000 0.0000 0.0000  6 Ga 2.63
2 Ga 0.0000 0.0000 0.5000  2 Sc 2.63
3 Ga 0.0000 0.5000 0.0000  2 Sc 2.63
4 Ga 0.5000 0.0000 0.0000  2 Sc 2.63
5 Ga 0.5000 0.5000 0.5000  12 Ga 3.72

space-group type = Pm-3m, No. 221
spin magnetization = 0.00 μB/atom
N(E_F) = 4.43 states/eV per cell

=====

Quick one: least stable of them? *x*